# Nd2Er4Th3

An optimized crystal structure of Nd2Er4Th3 (PBE, Alexandria via LeMat-Bulk).

a = 3.5642 Å, b = 3.5642 Å, c = 26.6077 Å
α = 90.00°, β = 90.00°, γ = 120.00°
With the nearest neighbours (Å) after each atom.
Space group P3m1 (No. 156)
Symmetry-distinct sites (fractional):
1 Nd 0.0000 0.0000 0.0000 (multiplicity 1)  6 Nd 3.56, 3 Er 3.60, 3 Th 3.65
2 Nd 0.0000 0.0000 0.2234 (multiplicity 1)  1 Er 3.40, 6 Nd 3.56, 3 Th 3.58
3 Er 0.0000 0.0000 0.3510 (multiplicity 1)  1 Nd 3.40, 3 Th 3.48, 6 Er 3.56
4 Er 0.0000 0.0000 0.5673 (multiplicity 1)  9 Er 3.47-3.56, 3 Th 3.59
5 Er 0.3333 0.6667 0.6723 (multiplicity 1)  9 Er 3.47-3.56, 3 Th 3.55
6 Er 0.3333 0.6667 0.8889 (multiplicity 1)  3 Th 3.53, 6 Er 3.56, 3 Nd 3.60
7 Th 0.0000 0.0000 0.7812 (multiplicity 1)  6 Er 3.53-3.55, 6 Th 3.56
8 Th 0.3333 0.6667 0.1131 (multiplicity 1)  6 Th 3.56, 6 Nd 3.58-3.65
9 Th 0.3333 0.6667 0.4567 (multiplicity 1)  6 Er 3.48-3.59, 6 Th 3.56

Total moment   0.00 μB per atom
Density   9.4 Mg/m³
E_form   0.08 eV/atom

***

# Zr2CdGeI

An optimized crystal structure of Zr2CdGeI (PBE, Alexandria via LeMat-Bulk).

a = 5.2862 Å, b = 5.2862 Å, c = 5.4000 Å
α = 90.00°, β = 90.00°, γ = 90.00°
With the nearest neighbours (Å) after each atom.
Space group P4/mmm (No. 123)
Symmetry-distinct sites (fractional):
1 Zr 0.0000 0.5000 0.0000 (multiplicity 2)  2 I 2.64
2 Cd 0.0000 0.0000 0.5000 (multiplicity 1)  4 Ge 3.74, 8 Zr 3.78
3 Ge 0.5000 0.5000 0.5000 (multiplicity 1)  2 I 2.70
4 I 0.5000 0.5000 0.0000 (multiplicity 1)  4 Zr 2.64, 2 Ge 2.70

Total moment   0.00 μB per atom
Density   5.4 Mg/m³
E_form (uncorrected)   988 meV/atom

***

# MoAs2W

An optimized crystal structure of MoAs2W (PBE, Alexandria via LeMat-Bulk).

a = 3.9474 Å, b = 3.9474 Å, c = 17.8203 Å
α = 90.00°, β = 90.00°, γ = 90.00°
With the nearest neighbours (Å) after each atom.
Space group I-42d (No. 122)
Symmetry-distinct sites (fractional):
1 Mo 0.0000 0.0000 0.0000 (multiplicity 4)  4 As 2.63, 4 W 2.79
2 As 0.2481 0.2500 0.1250 (multiplicity 8)  2 Mo 2.63, 2 W 2.63, 4 As 2.78-2.80
3 W 0.0000 0.0000 0.5000 (multiplicity 4)  4 As 2.63, 4 Mo 2.79

Total moment   0.00 μB per atom
Density   10.3 Mg/m³
Energy above the most stable polymorph in this dataset   550.9 meV per atom
E_form   0.53 eV/atom

***

# AlCrTe2

An optimized crystal structure of AlCrTe2 (PBE, Alexandria via LeMat-Bulk).

a = 12.4764 Å, b = 4.0098 Å, c = 4.0222 Å
α = 90.00°, β = 104.93°, γ = 90.00°
With the nearest neighbours (Å) after each atom.
Space group Cm (No. 8)
Symmetry-distinct sites (fractional):
1 Al 0.0000 0.0000 0.0000 (multiplicity 2)  1 Cr 2.83, 5 Te 2.86-2.89
2 Cr 0.2327 0.0000 0.2794 (multiplicity 2)  5 Te 2.77-2.88, 1 Al 2.83
3 Te 0.2603 0.5000 0.8091 (multiplicity 2)  4 Cr 2.84-2.88, 1 Al 2.89
4 Te 0.4624 0.0000 0.4738 (multiplicity 2)  1 Cr 2.77, 4 Al 2.86-2.89

Total moment   0.95 μB per atom
Density   5.7 Mg/m³
E_form (uncorrected)   -3 meV/atom

***

# Na3U3NiS8

An optimized crystal structure of Na3U3NiS8 (PBE, Alexandria via LeMat-Bulk).

a = 13.2778 Å, b = 7.6761 Å, c = 8.1323 Å
α = 90.00°, β = 122.97°, γ = 90.00°
With the nearest neighbours (Å) after each atom.
Space group C2/m (No. 12)
Symmetry-distinct sites (fractional):
1 Na 0.0000 0.0000 0.0000 (multiplicity 2)  6 S 2.86-2.93
2 Na 0.2500 0.2500 0.0000 (multiplicity 4)  6 S 2.86-2.93
3 U 0.0000 0.5000 0.5000 (multiplicity 2)  6 S 2.69-2.73
4 U 0.2500 0.2500 0.5000 (multiplicity 4)  6 S 2.69-2.73
5 Ni 0.0000 0.0000 0.5000 (multiplicity 2)  6 S 2.56-2.57
6 S 0.0090 0.2397 0.2874 (multiplicity 8)  1 Ni 2.57, 2 U 2.69
7 S 0.2293 0.0000 0.7114 (multiplicity 4)  1 Ni 2.56, 2 U 2.69
8 S 0.2450 0.5000 0.7346 (multiplicity 4)  3 U 2.73, 3 Na 2.86

Total moment   0.50 μB per atom
Density   5.2 Mg/m³
E_form (uncorrected)   -1167 meV/atom

***

# LaSn3Se

An optimized crystal structure of LaSn3Se (PBE, Alexandria via LeMat-Bulk).

a = 5.4635 Å, b = 5.4635 Å, c = 5.4635 Å
α = 90.00°, β = 90.00°, γ = 90.00°
With the nearest neighbours (Å) after each atom.
Space group Pm-3m (No. 221)
Symmetry-distinct sites (fractional):
1 La 0.0000 0.0000 0.0000 (multiplicity 1)  12 Sn 3.86
2 Sn 0.0000 0.5000 0.5000 (multiplicity 3)  2 Se 2.73
3 Se 0.5000 0.5000 0.5000 (multiplicity 1)  6 Sn 2.73

Total moment   0.00 μB per atom
Density   5.8 Mg/m³
E_form (uncorrected)   -8 meV/atom
Energy above the most stable polymorph in this dataset   0.0 meV per atom

***

# GdHo3Os

An optimized crystal structure of GdHo3Os (PBE, Alexandria via LeMat-Bulk).

a = 5.4085 Å, b = 5.4085 Å, c = 5.4085 Å
α = 90.00°, β = 90.00°, γ = 90.00°
With the nearest neighbours (Å) after each atom.
Space group Pm-3m (No. 221)
Symmetry-distinct sites (fractional):
1 Gd 0.0000 0.0000 0.0000 (multiplicity 1)  12 Ho 3.82
2 Ho 0.0000 0.5000 0.5000 (multiplicity 3)  2 Os 2.70
3 Os 0.5000 0.5000 0.5000 (multiplicity 1)  6 Ho 2.70

Total moment   1.55 μB per atom
Density   8.8 Mg/m³
E_form   -0.01 eV/atom

***

# YMgSc2Co

An optimized crystal structure of YMgSc2Co (PBE, Alexandria via LeMat-Bulk).

a = 4.8060 Å, b = 4.8060 Å, c = 5.0592 Å
α = 90.00°, β = 90.00°, γ = 90.00°
With the nearest neighbours (Å) after each atom.
Space group P4/mmm (No. 123)
Symmetry-distinct sites (fractional):
1 Y 0.0000 0.0000 0.0000 (multiplicity 1)  4 Mg 3.40, 8 Sc 3.49
2 Mg 0.5000 0.5000 0.0000 (multiplicity 1)  2 Co 2.53
3 Sc 0.0000 0.5000 0.5000 (multiplicity 2)  2 Co 2.40
4 Co 0.5000 0.5000 0.5000 (multiplicity 1)  4 Sc 2.40, 2 Mg 2.53

Total moment   0.00 μB per atom
Density   3.7 Mg/m³
Energy above the most stable polymorph in this dataset   0.0 meV per atom
E_form   -0.05 eV/atom